[1]
Below is Lu6FeBi2 after structural relaxation, with properties calculated at the PBE level.

Total moment, μB/f.u.: 0.03
Space group: No. 189
DFT total energy, eV/atom: -5.2584

Structure (POSCAR):
```
Lu6FeBi2
1.0
-6.027 -4.481 -3.138
1.915 -0.701 7.880
-2.673 2.956 0.913
Bi Fe Lu
2 1 6
direct
0.667 0.333 0.500
0.333 0.667 0.500
0.000 0.000 0.000
0.617 0.000 0.000
0.383 0.383 0.000
0.000 0.617 0.000
0.230 0.000 0.500
0.000 0.230 0.500
0.770 0.770 0.500
```

***

[2]
Below is LuFe2Bi after structural relaxation, with properties calculated at the PBE level.

Total moment, μB/f.u.: 4.90
Space group: No. 216
DFT total energy, eV/atom: -6.0219

Structure (POSCAR):
```
LuFe2Bi
1.0
-1.051 -4.333 -1.607
-3.018 -0.519 -3.617
1.596 -1.409 -4.234
Bi Fe Lu
1 2 1
direct
0.500 0.500 0.500
0.000 0.000 0.000
0.750 0.750 0.750
0.250 0.250 0.250
```

***

[3]
Below is LuMgFeBi after structural relaxation, with properties calculated at the PBE level.

Total moment, μB/f.u.: 2.01
Space group: No. 216
Distance to the lowest polymorph of the same formula, meV per atom: 88

Structure (POSCAR):
```
LuMgFeBi
1.0
0.000 3.525 3.525
3.525 0.000 3.525
3.525 3.525 0.000
Bi Fe Lu Mg
1 1 1 1
direct
0.000 0.000 0.000
0.750 0.750 0.750
0.250 0.250 0.250
0.500 0.500 0.500
```

***

[4]
Below is LuMgFeBi after structural relaxation, with properties calculated at the PBE level.

Total moment, μB/f.u.: 0.10
Space group: No. 216
Distance to the lowest polymorph of the same formula, meV per atom: 84

Structure (POSCAR):
```
LuMgFeBi
1.0
0.000 3.387 3.387
3.387 0.000 3.387
3.387 3.387 0.000
Bi Fe Lu Mg
1 1 1 1
direct
0.000 0.000 0.000
0.750 0.750 0.750
0.500 0.500 0.500
0.250 0.250 0.250
```

***

[5]
Below is LuMgFeBi after structural relaxation, with properties calculated at the PBE level.

Total moment, μB/f.u.: 1.99
Space group: No. 216
Distance to the lowest polymorph of the same formula, meV per atom: 0

Structure (POSCAR):
```
LuMgFeBi
1.0
0.000 3.529 3.529
3.529 0.000 3.529
3.529 3.529 0.000
Bi Fe Lu Mg
1 1 1 1
direct
0.500 0.500 0.500
0.000 0.000 0.000
0.250 0.250 0.250
0.750 0.750 0.750
```

***

[6]
Below is Lu4FeBiN2 after structural relaxation, with properties calculated at the PBE level.

Total moment, μB/f.u.: 0.88
Space group: No. 187
DFT total energy, eV/atom: -6.7732

Structure (POSCAR):
```
Lu4FeBiN2
1.0
-1.679 2.977 -0.135
-1.735 -2.928 0.347
0.896 1.152 14.209
Bi Fe Lu N
1 1 4 2
direct
0.000 0.000 0.000
0.667 0.333 0.500
0.667 0.333 0.180
0.000 0.000 0.367
0.000 0.000 0.633
0.667 0.333 0.820
0.333 0.667 0.253
0.333 0.667 0.747
```

***

[7]
Below is LuNbFeBi after structural relaxation, with properties calculated at the PBE level.

Total moment, μB/f.u.: 2.95
Space group: No. 216
Distance to the lowest polymorph of the same formula, meV per atom: 0

Structure (POSCAR):
```
LuNbFeBi
1.0
0.306 -4.769 0.471
-3.994 -2.664 0.094
-1.071 -2.853 -3.711
Bi Fe Lu Nb
1 1 1 1
direct
0.000 0.000 0.000
0.750 0.750 0.750
0.500 0.500 0.500
0.250 0.250 0.250
```

***

[8]
Below is LuFeBiOs after structural relaxation, with properties calculated at the PBE level.

Total moment, μB/f.u.: 3.93
Space group: No. 216
Distance to the lowest polymorph of the same formula, meV per atom: 217

Structure (POSCAR):
```
LuFeBiOs
1.0
0.000 3.343 3.343
3.343 0.000 3.343
3.343 3.343 0.000
Bi Fe Lu Os
1 1 1 1
direct
0.000 0.000 0.000
0.750 0.750 0.750
0.250 0.250 0.250
0.500 0.500 0.500
```

***

[9]
Below is LuFeBiOs after structural relaxation, with properties calculated at the PBE level.

Total moment, μB/f.u.: 0.08
Space group: No. 216
Distance to the lowest polymorph of the same formula, meV per atom: 0

Structure (POSCAR):
```
LuFeBiOs
1.0
-1.663 -3.464 2.605
-4.500 -0.096 1.136
-2.803 -3.184 -1.887
Bi Fe Lu Os
1 1 1 1
direct
0.000 0.000 0.000
0.750 0.750 0.750
0.500 0.500 0.500
0.250 0.250 0.250
```

***

[10]
Below is LuFeBiPd after structural relaxation, with properties calculated at the PBE level.

Total moment, μB/f.u.: 1.92
Space group: No. 216
Distance to the lowest polymorph of the same formula, meV per atom: 0

Structure (POSCAR):
```
LuFeBiPd
1.0
-4.564 -0.915 -1.054
-3.424 3.012 1.408
-2.290 2.681 -3.216
Bi Fe Lu Pd
1 1 1 1
direct
0.000 0.000 0.000
0.750 0.750 0.750
0.500 0.500 0.500
0.250 0.250 0.250
```

***

[11]
Below is LuFeBiPd after structural relaxation, with properties calculated at the PBE level.

Total moment, μB/f.u.: 2.62
Space group: No. 216
Distance to the lowest polymorph of the same formula, meV per atom: 91

Structure (POSCAR):
```
LuFeBiPd
1.0
0.070 -2.003 4.398
0.303 2.801 3.927
-3.813 0.472 2.932
Bi Fe Lu Pd
1 1 1 1
direct
0.000 0.000 0.000
0.750 0.750 0.750
0.250 0.250 0.250
0.500 0.500 0.500
```

***

[12]
Below is LuFeReBi after structural relaxation, with properties calculated at the PBE level.

Total moment, μB/f.u.: 4.37
Space group: No. 216
Distance to the lowest polymorph of the same formula, meV per atom: 143

Structure (POSCAR):
```
LuFeReBi
1.0
0.000 3.346 3.346
3.346 0.000 3.346
3.346 3.346 0.000
Bi Fe Lu Re
1 1 1 1
direct
0.000 0.000 0.000
0.750 0.750 0.750
0.250 0.250 0.250
0.500 0.500 0.500
```

***

Please write out number 8 again, unchanged.
Below is LuFeBiOs after structural relaxation, with properties calculated at the PBE level.

Total moment, μB/f.u.: 3.93
Space group: No. 216
Distance to the lowest polymorph of the same formula, meV per atom: 217

Structure (POSCAR):
```
LuFeBiOs
1.0
0.000 3.343 3.343
3.343 0.000 3.343
3.343 3.343 0.000
Bi Fe Lu Os
1 1 1 1
direct
0.000 0.000 0.000
0.750 0.750 0.750
0.250 0.250 0.250
0.500 0.500 0.500
```

***

Repeat the second record exactly.
Below is LuFe2Bi after structural relaxation, with properties calculated at the PBE level.

Total moment, μB/f.u.: 4.90
Space group: No. 216
DFT total energy, eV/atom: -6.0219

Structure (POSCAR):
```
LuFe2Bi
1.0
-1.051 -4.333 -1.607
-3.018 -0.519 -3.617
1.596 -1.409 -4.234
Bi Fe Lu
1 2 1
direct
0.500 0.500 0.500
0.000 0.000 0.000
0.750 0.750 0.750
0.250 0.250 0.250
```

***

Q: What is the total moment in the ninth record?
A: 0.08 μB/f.u.

***

Q: Which value of total moment does entry 4 give?
A: 0.10 μB/f.u.